First-principles (PBE) data for a relaxed SrNi2 crystal, as listed in the Alexandria database.

Output
Symmetry ... Pnma, No. 62
Calculated density ... 5.54 g/cm³
DFT total energy ... -4.35 eV per atom
N(E_F) ... 4.2 states/eV/f.u.

Cell lengths 5.4802, 4.0109, 11.1843 Å; angles 90.00, 90.00, 90.00 degrees
Sites, in units of the cell vectors:
Sr: 0.1132 0.2500 0.1405
Sr: 0.3868 0.7500 0.6405
Sr: 0.6132 0.2500 0.3595
Sr: 0.8868 0.7500 0.8595
Ni: 0.0922 0.2500 0.4634
Ni: 0.1356 0.7500 0.3569
Ni: 0.3644 0.2500 0.8569
Ni: 0.4078 0.7500 0.9634
Ni: 0.5922 0.2500 0.0366
Ni: 0.6356 0.7500 0.1431
Ni: 0.8644 0.2500 0.6431
Ni: 0.9078 0.7500 0.5366

First-principles (PBE) data for a relaxed SrNi crystal, as listed in the Alexandria database.

Output
Symmetry ... P4_2/mnm, No. 136
Calculated density ... 4.39 g/cm³
DFT total energy ... -3.47 eV per atom
N(E_F) ... 2.9 states/eV/f.u.

Cell lengths 6.1454, 6.1454, 5.8557 Å; angles 90.00, 90.00, 90.00 degrees
Sites, in units of the cell vectors:
Sr: 0.1975 0.1975 0.0000
Sr: 0.3025 0.6975 0.5000
Sr: 0.6975 0.3025 0.5000
Sr: 0.8025 0.8025 0.0000
Ni: 0.1364 0.1364 0.5000
Ni: 0.3636 0.6364 0.0000
Ni: 0.6364 0.3636 0.0000
Ni: 0.8636 0.8636 0.5000

First-principles (PBE) data for a relaxed SrNi2 crystal, as listed in the Alexandria database.

Output
Symmetry ... Immm, No. 71
Calculated density ... 5.57 g/cm³
DFT total energy ... -4.26 eV per atom
N(E_F) ... 4.1 states/eV/f.u.

Cell lengths 6.5570, 6.5570, 6.5570 Å; angles 147.22, 125.89, 64.72 degrees
Sites, in units of the cell vectors:
Sr: 0.1725 0.1725 0.0000
Sr: 0.8275 0.8275 0.0000
Ni: 0.3066 0.5000 0.8066
Ni: 0.3980 0.8980 0.5000
Ni: 0.6020 0.1020 0.5000
Ni: 0.6934 0.5000 0.1934

First-principles (PBE) data for a relaxed SrNi crystal, as listed in the Alexandria database.

Output
Symmetry ... Cmmm, No. 65
Calculated density ... 4.37 g/cm³
DFT total energy ... -3.66 eV per atom
N(E_F) ... 1.4 states/eV/f.u.

Cell lengths 9.5020, 9.5020, 4.3030 Å; angles 90.00, 90.00, 154.59 degrees
Sites, in units of the cell vectors:
Sr: 0.0000 0.0000 0.0000
Sr: 0.3399 0.6601 0.5000
Sr: 0.6601 0.3399 0.5000
Ni: 0.2260 0.7740 0.0000
Ni: 0.5000 0.5000 0.5000
Ni: 0.7740 0.2260 0.0000

First-principles (PBE) data for a relaxed SrNi crystal, as listed in the Alexandria database.

Output
Symmetry ... I4_1/amd, No. 141
Calculated density ... 5.07 g/cm³
DFT total energy ... -3.39 eV per atom
N(E_F) ... 0.8 states/eV/f.u.

Cell lengths 6.1146, 6.1146, 6.1146 Å; angles 139.40, 139.40, 58.76 degrees
Sites, in units of the cell vectors:
Sr: 0.3750 0.6250 0.7500
Sr: 0.6250 0.3750 0.2500
Ni: 0.1250 0.8750 0.2500
Ni: 0.8750 0.1250 0.7500

First-principles (PBE) data for a relaxed SrNi2 crystal, as listed in the Alexandria database.

Output
Symmetry ... Pnnm, No. 58
Calculated density ... 5.97 g/cm³
DFT total energy ... -3.86 eV per atom
N(E_F) ... 3.5 states/eV/f.u.

Cell lengths 2.9068, 7.5800, 5.1736 Å; angles 90.00, 90.00, 90.00 degrees
Sites, in units of the cell vectors:
Sr: 0.0000 0.0000 0.0000
Sr: 0.5000 0.5000 0.5000
Ni: 0.2339 0.3725 0.0000
Ni: 0.2661 0.8725 0.5000
Ni: 0.7339 0.1275 0.5000
Ni: 0.7661 0.6275 0.0000

First-principles (PBE) data for a relaxed SrNi3 crystal, as listed in the Alexandria database.

Output
Symmetry ... P4/mmm, No. 123
Calculated density ... 6.86 g/cm³
DFT total energy ... -4.30 eV per atom
N(E_F) ... 5.1 states/eV/f.u.

Cell lengths 4.0030, 4.0030, 3.9864 Å; angles 90.00, 90.00, 90.00 degrees
Sites, in units of the cell vectors:
Sr: 0.0000 0.0000 0.0000
Ni: 0.0000 0.5000 0.5000
Ni: 0.5000 0.0000 0.5000
Ni: 0.5000 0.5000 0.0000

First-principles (PBE) data for a relaxed Sr5Ni4 crystal, as listed in the Alexandria database.

Output
Symmetry ... I4/mmm, No. 139
Calculated density ... 4.77 g/cm³
DFT total energy ... -3.04 eV per atom
N(E_F) ... 11.9 states/eV/f.u.

Cell lengths 7.0839, 7.0839, 7.0839 Å; angles 98.67, 98.67, 134.31 degrees
Sites, in units of the cell vectors:
Sr: 0.0000 0.0000 0.0000
Sr: 0.3120 0.3120 0.6239
Sr: 0.3120 0.6880 0.0000
Sr: 0.6880 0.3120 0.0000
Sr: 0.6880 0.6880 0.3761
Ni: 0.0000 0.3709 0.3709
Ni: 0.0000 0.6291 0.6291
Ni: 0.3709 0.0000 0.3709
Ni: 0.6291 0.0000 0.6291